Density functional theory data (GGA-PBE) for a relaxed structure of Tl8SnSb2.

Computed properties:
DOS at the Fermi energy ... 6.139 states/eV per cell
Raw formation energy ... 0.12 eV/atom
Energy above the lowest structure with this stoichiometry ... 0.107 eV per atom
Spin magnetization ... 0.0 μB per formula unit
Symmetry ... No. 12

Lattice parameters (Å, degrees): 6.759 8.314 8.314 67.62 107.98 107.98
Fractional positions:
1 Tl 0.228 0.421 0.811
2 Sn 0.000 0.000 0.000
3 Tl 0.171 0.822 0.822
4 Tl 0.228 0.811 0.421
5 Tl 0.772 0.189 0.579
6 Tl 0.249 0.407 0.407
7 Sb 0.395 0.218 0.218
8 Tl 0.829 0.178 0.178
9 Tl 0.772 0.579 0.189
10 Sb 0.605 0.782 0.782
11 Tl 0.751 0.593 0.593